(1)
Entry from Alexandria: a relaxed PtPbOF2 crystal (PBE).

Cell: 4.4902 4.4902 3.9727 Å, 90.00 90.00 90.00°
Last column: nearest neighbours and their distance in Å.
Atoms (fractional coordinates):
1 Pt 0.0000 0.0000 0.0000  2 O 1.99
2 Pb 0.5000 0.5000 0.5000  8 F 3.00, 4 O 3.18
3 O 0.0000 0.0000 0.5000  2 Pt 1.99
4 F 0.0000 0.5000 0.0000  2 Pt 2.25
5 F 0.5000 0.0000 0.0000  2 Pt 2.25

* ΔE_f (raw): -0.849 eV/atom
* DOS(E_F): 0.65 states/eV/atom
* E above lowest polymorph: 0 meV per atom
* E: -22.7 eV for the cell shown

=====

(2)
Entry from Alexandria: a relaxed PRhPb3 crystal (PBE).

Cell: 5.3038 5.3038 5.3038 Å, 90.00 90.00 90.00°
Last column: nearest neighbours and their distance in Å.
Atoms (fractional coordinates):
1 P 0.0000 0.0000 0.0000  6 Pb 2.65
2 Rh 0.5000 0.5000 0.5000  12 Pb 3.75
3 Pb 0.0000 0.0000 0.5000  2 P 2.65
4 Pb 0.0000 0.5000 0.0000  2 P 2.65
5 Pb 0.5000 0.0000 0.0000  2 P 2.65

* DOS(E_F): 0.67 states/eV/atom
* energy relative to the elements: 0.877 eV per atom
* E above lowest polymorph: 574 meV per atom
* E: -19.5 eV for the cell shown

=====

(3)
Entry from Alexandria: a relaxed Na2Ac3La2Tl4 crystal (PBE).

Cell: 5.6080 5.6080 14.7410 Å, 90.00 90.00 120.00°
Last column: nearest neighbours and their distance in Å.
Atoms (fractional coordinates):
1 Na 0.3333 0.6667 0.0677  4 Tl 3.17-3.44
2 Na 0.6667 0.3333 0.9323  4 Tl 3.17-3.44
3 Ac 0.0000 0.0000 0.2187  3 Tl 3.40
4 Ac 0.0000 0.0000 0.5000  6 La 3.74, 6 Tl 3.75, 2 Ac 4.15
5 Ac 0.0000 0.0000 0.7813  3 Tl 3.40
6 La 0.3333 0.6667 0.6273  4 Tl 3.24-3.32
7 La 0.6667 0.3333 0.3727  4 Tl 3.24-3.32
8 Tl 0.3333 0.6667 0.3713  3 La 3.24
9 Tl 0.3333 0.6667 0.8527  4 Na 3.17-3.44, 1 La 3.32, 3 Ac 3.40
10 Tl 0.6667 0.3333 0.1473  4 Na 3.17-3.44, 1 La 3.32, 3 Ac 3.40
11 Tl 0.6667 0.3333 0.6287  3 La 3.24

* DOS(E_F): 1.12 states/eV/atom
* energy relative to the elements: -0.153 eV per atom
* E: -36.0 eV for the cell shown

=====

(4)
Entry from Alexandria: a relaxed Pm6PrPb crystal (PBE).

Cell: 5.0170 5.0170 10.4352 Å, 90.00 90.00 90.00°
Last column: nearest neighbours and their distance in Å.
Atoms (fractional coordinates):
1 Pm 0.0000 0.0000 0.0000  4 Pb 3.55, 8 Pm 3.56
2 Pm 0.0000 0.0000 0.5000  4 Pr 3.55, 8 Pm 3.68
3 Pm 0.0000 0.5000 0.2420  8 Pm 3.55-3.68, 2 Pb 3.56, 2 Pr 3.68
4 Pm 0.0000 0.5000 0.7580  8 Pm 3.55-3.68, 2 Pb 3.56, 2 Pr 3.68
5 Pm 0.5000 0.0000 0.2420  8 Pm 3.55-3.68, 2 Pb 3.56, 2 Pr 3.68
6 Pm 0.5000 0.0000 0.7580  8 Pm 3.55-3.68, 2 Pb 3.56, 2 Pr 3.68
7 Pr 0.5000 0.5000 0.5000  12 Pm 3.55-3.68
8 Pb 0.5000 0.5000 0.0000  12 Pm 3.55-3.56

* DOS(E_F): 1.17 states/eV/atom
* energy relative to the elements: -0.138 eV per atom
* E: -38.1 eV for the cell shown

=====

(5)
Entry from Alexandria: a relaxed Ac2SmCu2S6 crystal (PBE).

Cell: 8.0213 8.0213 8.0213 Å, 52.32 52.32 52.32°
Last column: nearest neighbours and their distance in Å.
Atoms (fractional coordinates):
1 Ac 0.2032 0.2032 0.2032  3 S 2.94
2 Ac 0.7968 0.7968 0.7968  3 S 2.94
3 Sm 0.0000 0.0000 0.0000  6 S 2.75
4 Cu 0.4314 0.4314 0.4314  3 S 2.17
5 Cu 0.5686 0.5686 0.5686  3 S 2.17
6 S 0.2169 0.7481 0.7481  1 Cu 2.17
7 S 0.2519 0.2519 0.7831  1 Cu 2.17
8 S 0.2519 0.7831 0.2519  1 Cu 2.17
9 S 0.7481 0.2169 0.7481  1 Cu 2.17
10 S 0.7481 0.7481 0.2169  1 Cu 2.17
11 S 0.7831 0.2519 0.2519  1 Cu 2.17

* ΔE_f (raw): -1.236 eV/atom
* DOS(E_F): 0.67 states/eV/atom
* E: -59.5 eV for the cell shown

=====

(6)
Entry from Alexandria: a relaxed Y8Pd2Pt crystal (PBE).

Cell: 9.1536 9.1536 6.7537 Å, 104.14 104.14 32.37°
Last column: nearest neighbours and their distance in Å.
Atoms (fractional coordinates):
1 Y 0.0334 0.0334 0.2862  1 Pd 2.83, 2 Pt 3.06
2 Y 0.2049 0.2049 0.8272  1 Pd 2.82
3 Y 0.3341 0.3341 0.5214  3 Pd 2.81-3.13, 1 Pt 2.96
4 Y 0.4105 0.4105 0.0546  1 Pt 3.02
5 Y 0.5895 0.5895 0.9454  1 Pt 3.02
6 Y 0.6659 0.6659 0.4786  3 Pd 2.81-3.13, 1 Pt 2.96
7 Y 0.7951 0.7951 0.1728  1 Pd 2.82
8 Y 0.9666 0.9666 0.7138  1 Pd 2.83, 2 Pt 3.06
9 Pd 0.1877 0.1877 0.2311  5 Y 2.81-3.13
10 Pd 0.8123 0.8123 0.7689  5 Y 2.81-3.13
11 Pt 0.5000 0.5000 0.5000  8 Y 2.96-3.06

* DOS(E_F): 1.17 states/eV/atom
* energy relative to the elements: -0.548 eV per atom
* E above lowest polymorph: 0 meV per atom
* E: -74.2 eV for the cell shown

=====

(7)
Entry from Alexandria: a relaxed CsHgCl3 crystal (PBE).

Cell: 9.4549 15.7702 10.9257 Å, 90.00 124.36 90.00°
Last column: nearest neighbours and their distance in Å.
Atoms (fractional coordinates):
1 Cs 0.0000 0.0000 0.0000  8 Cl 3.66-3.92
2 Cs 0.0000 0.0000 0.5000  6 Cl 3.60-3.74
3 Cs 0.0000 0.5000 0.0000  6 Cl 3.60-3.74
4 Cs 0.0000 0.5000 0.5000  8 Cl 3.66-3.92
5 Cs 0.4781 0.2488 0.2627  9 Cl 3.63-3.92
6 Cs 0.4781 0.2512 0.7627  9 Cl 3.63-3.92
7 Cs 0.5219 0.7488 0.2373  9 Cl 3.63-3.92
8 Cs 0.5219 0.7512 0.7373  9 Cl 3.63-3.92
9 Hg 0.0007 0.2443 0.7658  5 Cl 2.56-2.76
10 Hg 0.0007 0.2557 0.2658  5 Cl 2.56-2.76
11 Hg 0.5000 0.0000 0.0000  2 Cl 2.39
12 Hg 0.5000 0.0000 0.5000  2 Cl 2.38
13 Hg 0.5000 0.5000 0.0000  2 Cl 2.38
14 Hg 0.5000 0.5000 0.5000  2 Cl 2.39
15 Hg 0.9993 0.7443 0.7342  5 Cl 2.56-2.76
16 Hg 0.9993 0.7557 0.2342  5 Cl 2.56-2.76
17 Cl 0.0218 0.7276 0.9963  2 Hg 2.76
18 Cl 0.0218 0.7724 0.4963  2 Hg 2.76
19 Cl 0.1954 0.1250 0.3404  1 Hg 2.57
20 Cl 0.1954 0.3750 0.8404  1 Hg 2.57
21 Cl 0.2505 0.1306 0.9054  2 Hg 2.66-2.85
22 Cl 0.2505 0.3694 0.4054  2 Hg 2.66-2.85
23 Cl 0.2640 0.6493 0.8449  1 Hg 2.56
24 Cl 0.2640 0.8507 0.3449  1 Hg 2.56
25 Cl 0.2809 0.6050 0.4090  1 Hg 2.39
26 Cl 0.2809 0.8950 0.9090  1 Hg 2.39
27 Cl 0.4658 0.5122 0.1988  1 Hg 2.38
28 Cl 0.4658 0.9878 0.6988  1 Hg 2.38
29 Cl 0.5342 0.0122 0.3012  1 Hg 2.38
30 Cl 0.5342 0.4878 0.8012  1 Hg 2.38
31 Cl 0.7191 0.1050 0.0910  1 Hg 2.39
32 Cl 0.7191 0.3950 0.5910  1 Hg 2.39
33 Cl 0.7360 0.1493 0.6551  1 Hg 2.56
34 Cl 0.7360 0.3507 0.1551  1 Hg 2.56
35 Cl 0.7495 0.6306 0.5946  2 Hg 2.66-2.85
36 Cl 0.7495 0.8694 0.0946  2 Hg 2.66-2.85
37 Cl 0.8046 0.6250 0.1596  1 Hg 2.57
38 Cl 0.8046 0.8750 0.6596  1 Hg 2.57
39 Cl 0.9782 0.2276 0.5037  2 Hg 2.76
40 Cl 0.9782 0.2724 0.0037  2 Hg 2.76

* ΔE_f (raw): -1.183 eV/atom
* E above lowest polymorph: 14 meV per atom
* E: -100.9 eV for the cell shown

=====

(8)
Entry from Alexandria: a relaxed SrAs2Pd crystal (PBE).

Cell: 4.9448 4.9448 4.9448 Å, 60.00 60.00 60.00°
Last column: nearest neighbours and their distance in Å.
Atoms (fractional coordinates):
1 Sr 0.0000 0.0000 0.0000  8 As 3.03
2 As 0.2500 0.2500 0.2500  4 Pd 3.03, 4 Sr 3.03
3 As 0.7500 0.7500 0.7500  4 Pd 3.03, 4 Sr 3.03
4 Pd 0.5000 0.5000 0.5000  8 As 3.03

* DOS(E_F): 0.74 states/eV/atom
* energy relative to the elements: -0.311 eV per atom
* E: -17.4 eV for the cell shown

=====

(9)
Entry from Alexandria: a relaxed Ba8Tl2Pt crystal (PBE).

Cell: 9.1807 9.1807 7.8498 Å, 105.72 105.72 72.79°
Last column: nearest neighbours and their distance in Å.
Atoms (fractional coordinates):
1 Ba 0.0810 0.0810 0.2809  2 Tl 3.53-3.60
2 Ba 0.1615 0.5562 0.2510  1 Pt 3.17, 1 Tl 3.54
3 Ba 0.3672 0.3672 0.7438  1 Pt 3.17
4 Ba 0.4438 0.8385 0.7490  1 Pt 3.17, 1 Tl 3.54
5 Ba 0.5562 0.1615 0.2510  1 Pt 3.17, 1 Tl 3.54
6 Ba 0.6328 0.6328 0.2562  1 Pt 3.17
7 Ba 0.8385 0.4438 0.7490  1 Pt 3.17, 1 Tl 3.54
8 Ba 0.9190 0.9190 0.7191  2 Tl 3.53-3.60
9 Tl 0.1763 0.1763 0.9240  7 Ba 3.53-3.72
10 Tl 0.8237 0.8237 0.0760  7 Ba 3.53-3.72
11 Pt 0.5000 0.5000 0.5000  6 Ba 3.17

* DOS(E_F): 1.39 states/eV/atom
* energy relative to the elements: -0.286 eV per atom
* E above lowest polymorph: 11 meV per atom
* E: -29.3 eV for the cell shown

=====

(10)
Entry from Alexandria: a relaxed BeSiSb crystal (PBE).

Cell: 4.2876 4.2876 4.2876 Å, 60.00 60.00 60.00°
Last column: nearest neighbours and their distance in Å.
Atoms (fractional coordinates):
1 Be 0.0000 0.0000 0.0000  4 Sb 2.63, 4 Si 2.63
2 Si 0.2500 0.2500 0.2500  4 Be 2.63
3 Sb 0.7500 0.7500 0.7500  4 Be 2.63

* ΔE_f (raw): 0.493 eV/atom
* DOS(E_F): 0.33 states/eV/atom
* E above lowest polymorph: 304 meV per atom
* E: -11.8 eV for the cell shown

=====

(11)
Entry from Alexandria: a relaxed Li8In2Ag crystal (PBE).

Cell: 7.7943 7.7943 4.8973 Å, 106.23 106.23 122.88°
Last column: nearest neighbours and their distance in Å.
Atoms (fractional coordinates):
1 Li 0.1058 0.3425 0.6790  4 Li 2.64-2.95, 2 In 2.84-2.94
2 Li 0.1992 0.8008 0.0000  1 Ag 2.73, 4 In 2.87-3.04, 4 Li 2.93-3.03
3 Li 0.3425 0.1058 0.6790  4 Li 2.64-2.95, 2 In 2.84-2.94
4 Li 0.4057 0.4057 0.2033  3 Li 2.38-2.64, 1 Ag 2.57
5 Li 0.5943 0.5943 0.7967  3 Li 2.38-2.64, 1 Ag 2.57
6 Li 0.6575 0.8942 0.3210  4 Li 2.64-2.95, 2 In 2.84-2.94
7 Li 0.8008 0.1992 0.0000  1 Ag 2.73, 4 In 2.87-3.04, 4 Li 2.93-3.03
8 Li 0.8942 0.6575 0.3210  4 Li 2.64-2.95, 2 In 2.84-2.94
9 In 0.3091 0.6909 0.5000  10 Li 2.84-3.04
10 In 0.6909 0.3091 0.5000  10 Li 2.84-3.04
11 Ag 0.0000 0.0000 0.0000  4 Li 2.57-2.73

* DOS(E_F): 0.29 states/eV/atom
* energy relative to the elements: -0.136 eV per atom
* E above lowest polymorph: 70 meV per atom
* E: -25.1 eV for the cell shown

=====

(12)
Entry from Alexandria: a relaxed Cs2BaCaBr6 crystal (PBE).

Cell: 8.5500 8.5500 8.5500 Å, 60.00 60.00 60.00°
Last column: nearest neighbours and their distance in Å.
Atoms (fractional coordinates):
1 Cs 0.2500 0.2500 0.2500  12 Br 4.28
2 Cs 0.7500 0.7500 0.7500  12 Br 4.28
3 Ba 0.0000 0.0000 0.0000  6 Br 3.16
4 Ca 0.5000 0.5000 0.5000  6 Br 2.88
5 Br 0.2616 0.2616 0.7384  1 Ca 2.88, 1 Ba 3.16
6 Br 0.2616 0.7384 0.2616  1 Ca 2.88, 1 Ba 3.16
7 Br 0.2616 0.7384 0.7384  1 Ca 2.88, 1 Ba 3.16
8 Br 0.7384 0.2616 0.2616  1 Ca 2.88, 1 Ba 3.16
9 Br 0.7384 0.2616 0.7384  1 Ca 2.88, 1 Ba 3.16
10 Br 0.7384 0.7384 0.2616  1 Ca 2.88, 1 Ba 3.16

* ΔE_f (raw): -1.979 eV/atom
* DOS(E_F): 0.00 states/eV/atom
* E above lowest polymorph: 3 meV per atom
* E: -35.5 eV for the cell shown